[1]
The following is a PBE calculation of a geometry-optimized Cs2ErPa2Se6 structure, from Alexandria.

Computed properties:
total moment: 6.06 Bohr magnetons per cell
DFT total energy: -125.21 eV for the cell shown
formation energy from raw total energies: -1494 meV/atom

Unit cell a=7.2375 b=12.4633 c=8.9873 alpha=90.00 beta=105.25 gamma=90.00
Space group C2/m (No. 12)
Unique sites:
1 Cs 0.0000 0.1670 0.0000 [4 per cell]
2 Er 0.0000 0.0000 0.5000 [2 per cell]
3 Pa 0.0000 0.3351 0.5000 [4 per cell]
4 Se 0.2269 0.1661 0.6841 [8 per cell]
5 Se 0.2312 0.5000 0.6864 [4 per cell]

[2]
The following is a PBE calculation of a geometry-optimized Cs3Er2PaSe6 structure, from Alexandria.

Computed properties:
total moment: 3.30 Bohr magnetons per cell
DFT total energy: -121.43 eV for the cell shown
formation energy from raw total energies: -1552 meV/atom

Unit cell a=7.3420 b=12.7159 c=8.7519 alpha=90.00 beta=106.23 gamma=90.00
Space group C2/m (No. 12)
Unique sites:
1 Cs 0.0000 0.0000 0.0000 [2 per cell]
2 Cs 0.0000 0.3329 0.0000 [4 per cell]
3 Er 0.0000 0.1666 0.5000 [4 per cell]
4 Pa 0.0000 0.5000 0.5000 [2 per cell]
5 Se 0.2269 0.0000 0.6861 [4 per cell]
6 Se 0.2295 0.3324 0.6859 [8 per cell]

[3]
The following is a PBE calculation of a geometry-optimized CsErPaSe4 structure, from Alexandria.

Computed properties:
total moment: 4.03 Bohr magnetons per cell
DFT total energy: -155.87 eV for the cell shown
formation energy from raw total energies: -1445 meV/atom

Unit cell a=8.9928 b=9.1612 c=12.3705 alpha=90.00 beta=90.00 gamma=90.00
Space group Imma (No. 74)
Unique sites:
1 Cs 0.0000 0.2500 0.1319 [4 per cell]
2 Er 0.2500 0.2500 0.7500 [4 per cell]
3 Pa 0.0000 0.0000 0.5000 [4 per cell]
4 Se 0.0000 0.0524 0.7296 [8 per cell]
5 Se 0.1999 0.2500 0.5176 [8 per cell]

[4]
The following is a PBE calculation of a geometry-optimized Cs2ErPa2Te6 structure, from Alexandria.

Computed properties:
total moment: 6.06 Bohr magnetons per cell
DFT total energy: -111.82 eV for the cell shown
formation energy from raw total energies: -1072 meV/atom

Unit cell a=7.6385 b=13.2229 c=9.6410 alpha=90.00 beta=105.41 gamma=90.00
Space group C2/m (No. 12)
Unique sites:
1 Cs 0.0000 0.1667 0.0000 [4 per cell]
2 Er 0.0000 0.0000 0.5000 [2 per cell]
3 Pa 0.0000 0.3327 0.5000 [4 per cell]
4 Te 0.2309 0.1644 0.6916 [8 per cell]
5 Te 0.2310 0.5000 0.6907 [4 per cell]